# 1
A relaxed structure of NiSeCl2, computed with PBE.

Computed properties:
- uncorrected energy (eV/atom) = -3.404
- formation energy without anion corrections (kJ/mol of atoms) = -15.81
- crystal system = monoclinic
- size of the total moment (μB per formula unit) = 1.4
- offset from the most stable computed form (meV/atom) = 199

a = 5.044 Å, b = 3.116 Å, c = 6.810 Å
α = 90.00°, β = 111.54°, γ = 90.00°
Space group P2/m (No. 10)
Inequivalent atoms, fractional coordinates:
1 Ni 0.000 0.000 0.000 (multiplicity 1)
2 Se 0.500 0.000 0.000 (multiplicity 1)
3 Cl 0.128 0.500 0.258 (multiplicity 2)

---

# 2
A relaxed structure of Ni2SeCl, computed with PBE.

Computed properties:
- uncorrected energy (eV/atom) = -4.053
- formation energy without anion corrections (kJ/mol of atoms) = 16.48
- crystal system = tetragonal
- size of the total moment (μB per formula unit) = 1.2
- offset from the most stable computed form (meV/atom) = 310

a = 3.330 Å, b = 3.330 Å, c = 13.608 Å
α = 90.00°, β = 90.00°, γ = 90.00°
Space group I-4m2 (No. 119)
Inequivalent atoms, fractional coordinates:
1 Ni 0.000 0.000 0.000 (multiplicity 2)
2 Ni 0.000 0.500 0.250 (multiplicity 2)
3 Se 0.000 0.500 0.750 (multiplicity 2)
4 Cl 0.000 0.000 0.500 (multiplicity 2)

---

# 3
A relaxed structure of Ni2SeCl, computed with PBE.

Computed properties:
- uncorrected energy (eV/atom) = -4.208
- formation energy without anion corrections (kJ/mol of atoms) = 1.50
- crystal system = orthorhombic
- size of the total moment (μB per formula unit) = 0.9
- offset from the most stable computed form (meV/atom) = 155

a = 3.308 Å, b = 3.327 Å, c = 12.053 Å
α = 90.00°, β = 90.00°, γ = 90.00°
Space group Imm2 (No. 44)
Inequivalent atoms, fractional coordinates:
1 Ni 0.000 0.000 0.000 (multiplicity 2)
2 Ni 0.000 0.500 0.316 (multiplicity 2)
3 Se 0.000 0.500 0.863 (multiplicity 2)
4 Cl 0.000 0.000 0.614 (multiplicity 2)

---

# 4
A relaxed structure of NiSe2Cl, computed with PBE.

Computed properties:
- uncorrected energy (eV/atom) = -3.562
- formation energy without anion corrections (kJ/mol of atoms) = 8.38
- crystal system = orthorhombic
- size of the total moment (μB per formula unit) = 0.0
- offset from the most stable computed form (meV/atom) = 399

a = 2.617 Å, b = 6.732 Å, c = 10.842 Å
α = 90.00°, β = 90.00°, γ = 90.00°
Space group Immm (No. 71)
Inequivalent atoms, fractional coordinates:
1 Ni 0.000 0.000 0.000 (multiplicity 2)
2 Se 0.000 0.500 0.323 (multiplicity 4)
3 Cl 0.000 0.000 0.500 (multiplicity 2)

---

# 5
A relaxed structure of Ni2SeCl, computed with PBE.

Computed properties:
- uncorrected energy (eV/atom) = -4.269
- formation energy without anion corrections (kJ/mol of atoms) = -4.38
- crystal system = orthorhombic
- size of the total moment (μB per formula unit) = 0.1
- offset from the most stable computed form (meV/atom) = 94

a = 3.114 Å, b = 3.259 Å, c = 6.216 Å
α = 90.00°, β = 90.00°, γ = 90.00°
Space group Pmmm (No. 47)
Inequivalent atoms, fractional coordinates:
1 Ni 0.000 0.000 0.197 (multiplicity 2)
2 Se 0.500 0.500 0.000 (multiplicity 1)
3 Cl 0.500 0.000 0.500 (multiplicity 1)

---

# 6
A relaxed structure of NiSeCl2, computed with PBE.

Computed properties:
- uncorrected energy (eV/atom) = -3.573
- formation energy without anion corrections (kJ/mol of atoms) = -32.17
- crystal system = orthorhombic
- size of the total moment (μB per formula unit) = 0.1
- offset from the most stable computed form (meV/atom) = 29

a = 3.331 Å, b = 4.934 Å, c = 14.563 Å
α = 90.00°, β = 90.00°, γ = 90.00°
Space group Imm2 (No. 44)
Inequivalent atoms, fractional coordinates:
1 Ni 0.000 0.000 0.000 (multiplicity 2)
2 Se 0.000 0.500 0.394 (multiplicity 2)
3 Cl 0.000 0.000 0.356 (multiplicity 2)
4 Cl 0.000 0.500 0.602 (multiplicity 2)

---

# 7
A relaxed structure of NiSe2Cl, computed with PBE.

Computed properties:
- uncorrected energy (eV/atom) = -3.379
- formation energy without anion corrections (kJ/mol of atoms) = 26.06
- crystal system = tetragonal
- size of the total moment (μB per formula unit) = 0.0
- offset from the most stable computed form (meV/atom) = 582

a = 5.317 Å, b = 5.317 Å, c = 5.292 Å
α = 90.00°, β = 90.00°, γ = 90.00°
Space group I4/mmm (No. 139)
Inequivalent atoms, fractional coordinates:
1 Ni 0.000 0.000 0.000 (multiplicity 2)
2 Se 0.000 0.500 0.000 (multiplicity 4)
3 Cl 0.000 0.000 0.500 (multiplicity 2)

---

# 8
A relaxed structure of Ni2SeCl, computed with PBE.

Computed properties:
- uncorrected energy (eV/atom) = -4.118
- formation energy without anion corrections (kJ/mol of atoms) = 10.17
- crystal system = orthorhombic
- size of the total moment (μB per formula unit) = 1.2
- offset from the most stable computed form (meV/atom) = 245

a = 3.232 Å, b = 6.853 Å, c = 7.248 Å
α = 90.00°, β = 90.00°, γ = 90.00°
Space group Immm (No. 71)
Inequivalent atoms, fractional coordinates:
1 Ni 0.000 0.238 0.000 (multiplicity 4)
2 Se 0.000 0.500 0.500 (multiplicity 2)
3 Cl 0.000 0.000 0.500 (multiplicity 2)

---

# 9
A relaxed structure of NiSe2Cl, computed with PBE.

Computed properties:
- uncorrected energy (eV/atom) = -3.961
- formation energy without anion corrections (kJ/mol of atoms) = -30.12
- crystal system = triclinic
- size of the total moment (μB per formula unit) = 0.0
- offset from the most stable computed form (meV/atom) = 0

a = 3.629 Å, b = 6.558 Å, c = 7.717 Å
α = 75.07°, β = 76.42°, γ = 74.11°
Space group P-1 (No. 2)
Inequivalent atoms, fractional coordinates:
1 Ni 0.121 0.074 0.184 (multiplicity 2)
2 Se 0.341 0.798 0.018 (multiplicity 2)
3 Se 0.392 0.099 0.619 (multiplicity 2)
4 Cl 0.084 0.607 0.721 (multiplicity 2)

---

# 10
A relaxed structure of NiSeCl, computed with PBE.

Computed properties:
- uncorrected energy (eV/atom) = -3.837
- formation energy without anion corrections (kJ/mol of atoms) = -12.84
- crystal system = tetragonal
- size of the total moment (μB per formula unit) = 0.0

a = 3.203 Å, b = 3.203 Å, c = 12.283 Å
α = 90.00°, β = 90.00°, γ = 90.00°
Space group I4mm (No. 107)
Inequivalent atoms, fractional coordinates:
1 Ni 0.000 0.000 0.000 (multiplicity 2)
2 Se 0.000 0.000 0.429 (multiplicity 2)
3 Cl 0.000 0.000 0.175 (multiplicity 2)

---

# 11
A relaxed structure of Ni2SeCl, computed with PBE.

Computed properties:
- uncorrected energy (eV/atom) = -4.363
- formation energy without anion corrections (kJ/mol of atoms) = -13.45
- crystal system = tetragonal
- size of the total moment (μB per formula unit) = 0.0
- offset from the most stable computed form (meV/atom) = 0

a = 5.485 Å, b = 5.485 Å, c = 9.882 Å
α = 90.00°, β = 90.00°, γ = 90.00°
Space group I-42d (No. 122)
Inequivalent atoms, fractional coordinates:
1 Ni 0.241 0.250 0.125 (multiplicity 8)
2 Se 0.000 0.000 0.000 (multiplicity 4)
3 Cl 0.000 0.000 0.500 (multiplicity 4)

---

# 12
A relaxed structure of Ni2SeCl, computed with PBE.

Computed properties:
- uncorrected energy (eV/atom) = -4.229
- formation energy without anion corrections (kJ/mol of atoms) = -0.51
- crystal system = monoclinic
- size of the total moment (μB per formula unit) = 0.7
- offset from the most stable computed form (meV/atom) = 134

a = 3.514 Å, b = 3.521 Å, c = 4.969 Å
α = 90.00°, β = 90.10°, γ = 90.00°
Space group P2/m (No. 10)
Inequivalent atoms, fractional coordinates:
1 Ni 0.000 0.000 0.000 (multiplicity 1)
2 Ni 0.500 0.500 0.500 (multiplicity 1)
3 Se 0.000 0.000 0.500 (multiplicity 1)
4 Cl 0.500 0.500 0.000 (multiplicity 1)

---

# 13
A relaxed structure of NiSeCl, computed with PBE.

Computed properties:
- uncorrected energy (eV/atom) = -3.462
- formation energy without anion corrections (kJ/mol of atoms) = 23.39
- crystal system = cubic
- size of the total moment (μB per formula unit) = 1.7

a = 6.093 Å, b = 6.093 Å, c = 6.093 Å
α = 90.00°, β = 90.00°, γ = 90.00°
Space group F-43m (No. 216)
Inequivalent atoms, fractional coordinates:
1 Ni 0.000 0.000 0.000 (multiplicity 4)
2 Se 0.250 0.250 0.250 (multiplicity 4)
3 Cl 0.250 0.250 0.750 (multiplicity 4)

---

# 14
A relaxed structure of NiSe2Cl, computed with PBE.

Computed properties:
- uncorrected energy (eV/atom) = -3.562
- formation energy without anion corrections (kJ/mol of atoms) = 8.46
- crystal system = trigonal
- size of the total moment (μB per formula unit) = 0.0
- offset from the most stable computed form (meV/atom) = 400

a = 3.3148 Å, b = 3.3148 Å, c = 26.3002 Å
α = 90.00°, β = 90.00°, γ = 120.00°
Space group R3m (No. 160, hexagonal axes)
Inequivalent atoms, fractional coordinates:
1 Ni 0.0000 0.0000 0.0000 (multiplicity 3)
2 Se 0.0000 0.0000 0.1384 (multiplicity 3)
3 Se 0.0000 0.0000 0.7208 (multiplicity 3)
4 Cl 0.0000 0.0000 0.6086 (multiplicity 3)

---

# 15
A relaxed structure of NiSe2Cl, computed with PBE.

Computed properties:
- uncorrected energy (eV/atom) = -3.907
- formation energy without anion corrections (kJ/mol of atoms) = -24.90
- crystal system = trigonal
- size of the total moment (μB per formula unit) = 0.0
- offset from the most stable computed form (meV/atom) = 54

a = 3.6825 Å, b = 3.6825 Å, c = 22.1635 Å
α = 90.00°, β = 90.00°, γ = 120.00°
Space group R-3m (No. 166, hexagonal axes)
Inequivalent atoms, fractional coordinates:
1 Ni 0.0000 0.0000 0.0000 (multiplicity 3)
2 Se 0.0000 0.0000 0.3859 (multiplicity 6)
3 Cl 0.0000 0.0000 0.5000 (multiplicity 3)

---

# 16
A relaxed structure of NiSeCl2, computed with PBE.

Computed properties:
- uncorrected energy (eV/atom) = -3.549
- formation energy without anion corrections (kJ/mol of atoms) = -29.82
- crystal system = trigonal
- size of the total moment (μB per formula unit) = 0.0
- offset from the most stable computed form (meV/atom) = 53

a = 3.4812 Å, b = 3.4812 Å, c = 24.0265 Å
α = 90.00°, β = 90.00°, γ = 120.00°
Space group R3m (No. 160, hexagonal axes)
Inequivalent atoms, fractional coordinates:
1 Ni 0.0000 0.0000 0.0000 (multiplicity 3)
2 Se 0.0000 0.0000 0.2779 (multiplicity 3)
3 Cl 0.0000 0.0000 0.5320 (multiplicity 3)
4 Cl 0.0000 0.0000 0.7202 (multiplicity 3)

---

# 17
A relaxed structure of NiSe2Cl, computed with PBE.

Computed properties:
- uncorrected energy (eV/atom) = -3.851
- formation energy without anion corrections (kJ/mol of atoms) = -19.47
- crystal system = monoclinic
- size of the total moment (μB per formula unit) = 1.0
- offset from the most stable computed form (meV/atom) = 110

a = 7.790 Å, b = 5.192 Å, c = 11.964 Å
α = 90.00°, β = 117.61°, γ = 90.00°
Space group P2_1/c (No. 14)
Inequivalent atoms, fractional coordinates:
1 Ni 0.182 0.193 0.249 (multiplicity 4)
2 Se 0.294 0.502 0.161 (multiplicity 4)
3 Se 0.419 0.617 0.838 (multiplicity 4)
4 Cl 0.080 0.055 0.861 (multiplicity 4)

---

# 18
A relaxed structure of NiSeCl2, computed with PBE.

Computed properties:
- uncorrected energy (eV/atom) = -3.337
- formation energy without anion corrections (kJ/mol of atoms) = -9.40
- crystal system = trigonal
- size of the total moment (μB per formula unit) = 1.6
- offset from the most stable computed form (meV/atom) = 265

a = 3.2624 Å, b = 3.2624 Å, c = 35.2371 Å
α = 90.00°, β = 90.00°, γ = 120.00°
Space group R-3m (No. 166, hexagonal axes)
Inequivalent atoms, fractional coordinates:
1 Ni 0.0000 0.0000 0.0000 (multiplicity 3)
2 Se 0.0000 0.0000 0.5000 (multiplicity 3)
3 Cl 0.0000 0.0000 0.2935 (multiplicity 6)

---

# 19
A relaxed structure of NiSe2Cl, computed with PBE.

Computed properties:
- uncorrected energy (eV/atom) = -3.923
- formation energy without anion corrections (kJ/mol of atoms) = -26.46
- crystal system = triclinic
- size of the total moment (μB per formula unit) = 0.0
- offset from the most stable computed form (meV/atom) = 38

a = 4.289 Å, b = 6.838 Å, c = 8.006 Å
α = 64.88°, β = 77.86°, γ = 80.14°
Space group P-1 (No. 2)
Inequivalent atoms, fractional coordinates:
1 Ni 0.044 0.289 0.177 (multiplicity 2)
2 Se 0.246 0.377 0.856 (multiplicity 2)
3 Se 0.481 0.315 0.295 (multiplicity 2)
4 Cl 0.112 0.935 0.268 (multiplicity 2)

---

# 20
A relaxed structure of NiSeCl2, computed with PBE.

Computed properties:
- uncorrected energy (eV/atom) = -3.061
- formation energy without anion corrections (kJ/mol of atoms) = 17.22
- crystal system = tetragonal
- size of the total moment (μB per formula unit) = 2.0
- offset from the most stable computed form (meV/atom) = 541

a = 2.947 Å, b = 2.947 Å, c = 11.010 Å
α = 90.00°, β = 90.00°, γ = 90.00°
Space group P4/mmm (No. 123)
Inequivalent atoms, fractional coordinates:
1 Ni 0.000 0.000 0.000 (multiplicity 1)
2 Se 0.000 0.000 0.500 (multiplicity 1)
3 Cl 0.500 0.500 0.135 (multiplicity 2)